# ZnGe3Ir GGA-PBEsol optimized geometry
# Formation enthalpy at 0 K (meV per atom): 429
# Energy (eV per atom): -4.82
# Total moment (μB/cell): 0.000
data_ZnGe3Ir
_space_group_name_H-M_alt 'P m -3 m'
_space_group_IT_number 221
_space_group_name_Hall '-P 4 2 3'
_cell_length_a 4.7603
_cell_length_b 4.7603
_cell_length_c 4.7603
_cell_angle_alpha 90.00
_cell_angle_beta 90.00
_cell_angle_gamma 90.00
loop_
_atom_site_label
_atom_site_type_symbol
_atom_site_fract_x
_atom_site_fract_y
_atom_site_fract_z
_atom_site_occupancy
Zn1 Zn 0.0000 0.0000 0.0000 1
Ge1 Ge 0.0000 0.5000 0.5000 1
Ir1 Ir 0.5000 0.5000 0.5000 1